# KNaYF2

A relaxed structure of KNaYF2 (GGA-PBE, Alexandria).

The total magnetization comes out at 0.000 μB/f.u. For the density of states at the Fermi level, the calculation gives 0.328 states/eV/atom. Its uncorrected formation energy is -1.886 eV/atom.

The space group is P4/mmm (No. 123) and the conventional cell measures 4.504, 4.504 and 7.341 Å, with angles of 90.00, 90.00 and 90.00 degrees. The inequivalent atoms are K at (0.000, 0.000, 0.000), Na at (0.500, 0.500, 0.000), Y at (0.500, 0.500, 0.500) and F at (0.000, 0.500, 0.500).